# 1
VASP calculation (GGA-PBE) on crystalline PmTm2Cu2Si2 at its relaxed geometry.

Calculated values
Symmetry: R-3m
Energy relative to the elements, uncorrected in eV/atom: -0.482
Calculated total energy in eV/f.u.: -36.11

a = 9.5380 Å, b = 9.5380 Å, c = 9.5380 Å
α = 25.59°, β = 25.59°, γ = 25.59°
Fractional positions:
Pm 0.0000 0.0000 0.0000
Tm 0.1279 0.1279 0.1279
Tm 0.8721 0.8721 0.8721
Cu 0.4049 0.4049 0.4049
Cu 0.5951 0.5951 0.5951
Si 0.2593 0.2593 0.2593
Si 0.7407 0.7407 0.7407

---

# 2
VASP calculation (GGA-PBE) on crystalline Co2SbBrN at its relaxed geometry.

Calculated values
Symmetry: P4/mmm
Energy relative to the elements, uncorrected in eV/atom: 1.599
Calculated total energy in eV/f.u.: -20.34

a = 4.4533 Å, b = 4.4533 Å, c = 4.2180 Å
α = 90.00°, β = 90.00°, γ = 90.00°
Fractional positions:
Co 0.0000 0.5000 0.0000
Co 0.5000 0.0000 0.0000
Sb 0.0000 0.0000 0.5000
Br 0.5000 0.5000 0.0000
N 0.5000 0.5000 0.5000

---

# 3
VASP calculation (GGA-PBE) on crystalline Ca3CeBi2P at its relaxed geometry.

Calculated values
Symmetry: Immm
Calculated total energy in eV/f.u.: -31.33
Formation enthalpy at 0 K in eV/atom: -0.8886

a = 9.1097 Å, b = 9.1097 Å, c = 9.1097 Å
α = 146.30°, β = 145.20°, γ = 49.22°
Fractional positions:
Ca 0.0000 0.0000 0.0000
Ca 0.1732 0.6732 0.5000
Ca 0.8268 0.3268 0.5000
Ce 0.5000 0.5000 0.0000
Bi 0.3658 0.8658 0.5000
Bi 0.6342 0.1342 0.5000
P 0.0000 0.5000 0.5000

---

# 4
VASP calculation (GGA-PBE) on crystalline Ho3ScH8 at its relaxed geometry.

Calculated values
Symmetry: Pm-3m
Calculated total energy in eV/f.u.: -55.35

a = 5.0465 Å, b = 5.0465 Å, c = 5.0465 Å
α = 90.00°, β = 90.00°, γ = 90.00°
Fractional positions:
Ho 0.0000 0.0000 0.5000
Ho 0.0000 0.5000 0.0000
Ho 0.5000 0.0000 0.0000
Sc 0.5000 0.5000 0.5000
H 0.2592 0.2592 0.2592
H 0.2592 0.2592 0.7408
H 0.2592 0.7408 0.2592
H 0.2592 0.7408 0.7408
H 0.7408 0.2592 0.2592
H 0.7408 0.2592 0.7408
H 0.7408 0.7408 0.2592
H 0.7408 0.7408 0.7408

---

Number 4 is which compound? Ho3ScH8

---

Repeat the fourth record exactly.
VASP calculation (GGA-PBE) on crystalline Ho3ScH8 at its relaxed geometry.

Calculated values
Symmetry: Pm-3m
Calculated total energy in eV/f.u.: -55.35

a = 5.0465 Å, b = 5.0465 Å, c = 5.0465 Å
α = 90.00°, β = 90.00°, γ = 90.00°
Fractional positions:
Ho 0.0000 0.0000 0.5000
Ho 0.0000 0.5000 0.0000
Ho 0.5000 0.0000 0.0000
Sc 0.5000 0.5000 0.5000
H 0.2592 0.2592 0.2592
H 0.2592 0.2592 0.7408
H 0.2592 0.7408 0.2592
H 0.2592 0.7408 0.7408
H 0.7408 0.2592 0.2592
H 0.7408 0.2592 0.7408
H 0.7408 0.7408 0.2592
H 0.7408 0.7408 0.7408